Density functional theory data (PBE) for a relaxed LiMoP2 crystal.

Computed properties:
Crystal system   trigonal
Density   4.32 g/cm³
M_tot   0.00 μB per formula unit
DFT total energy   -25.3 eV/cell
Symmetry   R-3m (166)
Formation energy   -0.4233 eV/atom
ΔE to the lowest computed polymorph   0 meV/atom

Cell: 7.4010 7.4010 7.4010 Å, 24.94 24.94 24.94°
Fractional coordinates of all 4 atoms:
Li1 0.0000 0.0000 0.0000
Mo1 0.5000 0.5000 0.5000
P1 0.2424 0.2424 0.2424
P2 0.7576 0.7576 0.7576



Density functional theory data (PBE) for a relaxed Li2MoP crystal.

Computed properties:
Crystal system   tetragonal
Density   4.03 g/cm³
M_tot   0.00 μB per formula unit
DFT total energy   -39.8 eV/cell
Symmetry   I-42d (122)
Formation energy   0.0361 eV/atom

Cell: 9.9064 9.9064 9.9064 Å, 159.79 159.79 28.73°
Fractional coordinates of all 8 atoms:
Li1 0.1106 0.6250 0.9856
Li2 0.3750 0.3606 0.4856
Li3 0.6394 0.1250 0.0144
Li4 0.8750 0.8894 0.5144
Mo1 0.2500 0.7500 0.5000
Mo2 0.5000 0.5000 0.0000
P1 0.0000 0.0000 0.0000
P2 0.7500 0.2500 0.5000



Density functional theory data (PBE) for a relaxed LiMo2P crystal.

Computed properties:
Crystal system   orthorhombic
Density   6.26 g/cm³
M_tot   0.00 μB per formula unit
DFT total energy   -28.6 eV/cell
Symmetry   Cmm2 (35)
Formation energy   0.0961 eV/atom

Cell: 2.7581 2.7581 8.4854 Å, 90.00 90.00 109.12°
Fractional coordinates of all 4 atoms:
Li1 0.0000 0.0000 0.0000
Mo1 0.0000 0.0000 0.5426
Mo2 0.5000 0.5000 0.2842
P1 0.5000 0.5000 0.7654



Density functional theory data (PBE) for a relaxed LiMo2P crystal.

Computed properties:
Crystal system   tetragonal
Density   6.85 g/cm³
M_tot   0.00 μB per formula unit
DFT total energy   -29.3 eV/cell
Symmetry   P4mm (99)
Formation energy   -0.0754 eV/atom

Cell: 3.2103 3.2103 5.4065 Å, 90.00 90.00 90.00°
Fractional coordinates of all 4 atoms:
Li1 0.0000 0.0000 0.0000
Mo1 0.0000 0.0000 0.5190
Mo2 0.5000 0.5000 0.2624
P1 0.5000 0.5000 0.7751



Density functional theory data (PBE) for a relaxed Li2MoP crystal.

Computed properties:
Crystal system   orthorhombic
Density   4.25 g/cm³
M_tot   0.00 μB per formula unit
DFT total energy   -20.1 eV/cell
Symmetry   Pmmm (47)
Formation energy   -0.0063 eV/atom

Cell: 2.6788 4.1574 4.9382 Å, 90.00 90.00 90.00°
Fractional coordinates of all 4 atoms:
Li1 0.0000 0.0000 0.2402
Li2 0.0000 0.0000 0.7598
Mo1 0.5000 0.5000 0.5000
P1 0.5000 0.5000 0.0000



Density functional theory data (PBE) for a relaxed LiMo2P crystal.

Computed properties:
Crystal system   cubic
Density   7.02 g/cm³
M_tot   0.00 μB per formula unit
DFT total energy   -29.4 eV/cell
Symmetry   F-43m (216)
Formation energy   -0.0937 eV/atom

Cell: 4.2527 4.2527 4.2527 Å, 60.00 60.00 60.00°
Fractional coordinates of all 4 atoms:
Li1 0.0000 0.0000 0.0000
Mo1 0.2500 0.2500 0.2500
Mo2 0.5000 0.5000 0.5000
P1 0.7500 0.7500 0.7500



Density functional theory data (PBE) for a relaxed LiMo2P crystal.

Computed properties:
Crystal system   monoclinic
Density   6.98 g/cm³
M_tot   0.00 μB per formula unit
DFT total energy   -28.4 eV/cell
Symmetry   C2/m (12)
Formation energy   0.1532 eV/atom

Cell: 4.5606 4.5606 2.8547 Å, 98.81 98.81 107.48°
Fractional coordinates of all 4 atoms:
Li1 0.0000 0.0000 0.0000
Mo1 0.0000 0.5000 0.5000
Mo2 0.5000 0.0000 0.5000
P1 0.5000 0.5000 0.0000



Density functional theory data (PBE) for a relaxed LiMo2P crystal.

Computed properties:
Crystal system   tetragonal
Density   6.13 g/cm³
M_tot   0.00 μB per formula unit
DFT total energy   -56.4 eV/cell
Symmetry   I-42d (122)
Formation energy   0.1989 eV/atom

Cell: 5.6058 5.6058 5.6058 Å, 101.01 101.01 128.16°
Fractional coordinates of all 8 atoms:
Li1 0.0000 0.0000 0.0000
Li2 0.7500 0.2500 0.5000
Mo1 0.1772 0.6250 0.0522
Mo2 0.3750 0.4272 0.5522
Mo3 0.5728 0.1250 0.9478
Mo4 0.8750 0.8228 0.4478
P1 0.2500 0.7500 0.5000
P2 0.5000 0.5000 0.0000